[1]
A relaxed ZnPBrO2 crystal. Source: Alexandria, functional GGA-PBE.

Values from the calculation:
As for the uncorrected formation energy: 0.30 eV per atom. For the density of states at the Fermi level, the calculation gives 1.79 states/eV/f.u.

extended XYZ file:
```
5
Lattice="-0.260 -1.243 -3.563 -0.273 -3.556 1.261 -5.980 0.547 0.246" Properties=species:S:1:pos:R:3 pbc="T T T"
P -2.990 0.274 0.123
Zn 0.000 0.000 0.000
O -0.137 -1.778 0.630
O -0.130 -0.622 -1.782
Br -3.257 -2.126 -1.028
```


[2]
A relaxed ZnP2BrO crystal. Source: Alexandria, functional GGA-PBE.

Values from the calculation:
As for the uncorrected formation energy: 0.64 eV per atom. For the density of states at the Fermi level, the calculation gives 3.59 states/eV/f.u.

extended XYZ file:
```
5
Lattice="4.868 0.000 0.000 0.000 4.868 0.000 0.000 0.000 3.740" Properties=species:S:1:pos:R:3 pbc="T T T"
P 0.000 2.434 0.000
P 2.434 0.000 0.000
Zn 0.000 0.000 0.000
O 0.000 0.000 1.870
Br 2.434 2.434 1.870
```


[3]
A relaxed ZnP2BrO crystal. Source: Alexandria, functional GGA-PBE.

Values from the calculation:
As for the uncorrected formation energy: 1.15 eV per atom. For the density of states at the Fermi level, the calculation gives 3.49 states/eV/f.u.

extended XYZ file:
```
5
Lattice="-0.840 -4.215 2.665 3.236 -2.517 -2.961 2.745 0.878 2.254" Properties=species:S:1:pos:R:3 pbc="T T T"
P 1.618 -1.258 -1.481
P -0.420 -2.108 1.332
Zn 2.571 -2.927 0.979
O 1.373 0.439 1.127
Br 0.000 0.000 0.000
```


[4]
A relaxed ZnPBrO2 crystal. Source: Alexandria, functional GGA-PBE.

Values from the calculation:
As for the uncorrected formation energy: 0.65 eV per atom. For the density of states at the Fermi level, the calculation gives 2.10 states/eV/f.u.

extended XYZ file:
```
5
Lattice="3.802 0.000 0.000 0.000 3.802 0.000 0.000 0.000 5.349" Properties=species:S:1:pos:R:3 pbc="T T T"
P 0.000 0.000 2.675
Zn 1.901 1.901 2.675
O 0.000 1.901 0.000
O 1.901 0.000 0.000
Br 0.000 0.000 0.000
```